Record 1
First-principles (PBE) data for a geometry-optimized GdMgInIr structure, as listed in Alexandria via LeMat-Bulk.

Unit cell a=4.9079 b=4.9079 c=4.9079 alpha=60.00 beta=60.00 gamma=60.00
Last column: nearest neighbours and their distance in Å.
Fractional coordinates of all 4 atoms:
In (0.7500, 0.7500, 0.7500)  4 Mg 3.01, 4 Gd 3.01
Gd (0.5000, 0.5000, 0.5000)  4 In 3.01, 4 Ir 3.01
Ir (0.2500, 0.2500, 0.2500)  4 Gd 3.01, 4 Mg 3.01
Mg (0.0000, 0.0000, 0.0000)  4 Ir 3.01, 4 In 3.01

Summary:
For the density of states at the Fermi level, the calculation gives 2.46 states/eV/cell. For the formation energy, the calculation gives -0.361 eV per atom. The energy is -28.720 eV per cell.



Record 2
First-principles (PBE) data for a geometry-optimized NaGdInIr structure, as listed in Alexandria via LeMat-Bulk.

Unit cell a=4.9078 b=4.9078 c=4.9078 alpha=60.00 beta=60.00 gamma=60.00
Last column: nearest neighbours and their distance in Å.
Fractional coordinates of all 4 atoms:
Ir (0.0000, 0.0000, 0.0000)  4 Gd 3.01, 4 In 3.01
In (0.7500, 0.7500, 0.7500)  4 Na 3.01, 4 Ir 3.01
Na (0.5000, 0.5000, 0.5000)  4 In 3.01, 4 Gd 3.01
Gd (0.2500, 0.2500, 0.2500)  4 Na 3.01, 4 Ir 3.01

Summary:
For the density of states at the Fermi level, the calculation gives 4.16 states/eV/cell. For the formation energy, the calculation gives -0.273 eV per atom. The energy is -28.090 eV per cell.



Record 3
First-principles (PBE) data for a geometry-optimized NdGdInIr structure, as listed in Alexandria via LeMat-Bulk.

Unit cell a=5.1855 b=5.1855 c=5.1855 alpha=60.00 beta=60.00 gamma=60.00
Last column: nearest neighbours and their distance in Å.
Fractional coordinates of all 4 atoms:
Gd (0.0000, 0.0000, 0.0000)  4 Ir 3.18, 4 In 3.18
Ir (0.7500, 0.7500, 0.7500)  4 Gd 3.18, 4 Nd 3.18
Nd (0.5000, 0.5000, 0.5000)  4 In 3.18, 4 Ir 3.18
In (0.2500, 0.2500, 0.2500)  4 Gd 3.18, 4 Nd 3.18

Summary:
For the density of states at the Fermi level, the calculation gives 3.60 states/eV/cell. For the formation energy, the calculation gives -0.454 eV per atom. The energy is -32.264 eV per cell.



Record 4
First-principles (PBE) data for a geometry-optimized GdInIrPd structure, as listed in Alexandria via LeMat-Bulk.

Unit cell a=4.7913 b=4.7913 c=4.7913 alpha=60.00 beta=60.00 gamma=60.00
Last column: nearest neighbours and their distance in Å.
Fractional coordinates of all 4 atoms:
In (0.2500, 0.2500, 0.2500)  4 Pd 2.93, 4 Ir 2.93
Gd (0.7500, 0.7500, 0.7500)  4 Ir 2.93, 4 Pd 2.93
Ir (0.0000, 0.0000, 0.0000)  4 In 2.93, 4 Gd 2.93
Pd (0.5000, 0.5000, 0.5000)  4 Gd 2.93, 4 In 2.93

Summary:
For the density of states at the Fermi level, the calculation gives 2.30 states/eV/cell. For the formation energy, the calculation gives -0.620 eV per atom. The energy is -33.351 eV per cell.



Record 5
First-principles (PBE) data for a geometry-optimized PmGdInIr structure, as listed in Alexandria via LeMat-Bulk.

Unit cell a=5.1665 b=5.1665 c=5.1665 alpha=60.00 beta=60.00 gamma=60.00
Last column: nearest neighbours and their distance in Å.
Fractional coordinates of all 4 atoms:
Pm (0.7500, 0.7500, 0.7500)  4 In 3.16, 4 Ir 3.16
Ir (0.0000, 0.0000, 0.0000)  4 Gd 3.16, 4 Pm 3.16
Gd (0.2500, 0.2500, 0.2500)  4 In 3.16, 4 Ir 3.16
In (0.5000, 0.5000, 0.5000)  4 Pm 3.16, 4 Gd 3.16

Summary:
For the density of states at the Fermi level, the calculation gives 3.49 states/eV/cell. For the formation energy, the calculation gives -0.473 eV per atom. The energy is -32.322 eV per cell.



Record 6
First-principles (PBE) data for a geometry-optimized PrGdInIr structure, as listed in Alexandria via LeMat-Bulk.

Unit cell a=5.2054 b=5.2054 c=5.2054 alpha=60.00 beta=60.00 gamma=60.00
Last column: nearest neighbours and their distance in Å.
Fractional coordinates of all 4 atoms:
Ir (0.0000, 0.0000, 0.0000)  4 Pr 3.19, 4 Gd 3.19
Pr (0.2500, 0.2500, 0.2500)  4 In 3.19, 4 Ir 3.19
Gd (0.7500, 0.7500, 0.7500)  4 In 3.19, 4 Ir 3.19
In (0.5000, 0.5000, 0.5000)  4 Gd 3.19, 4 Pr 3.19

Summary:
For the density of states at the Fermi level, the calculation gives 3.68 states/eV/cell. For the formation energy, the calculation gives -0.435 eV per atom. The energy is -32.201 eV per cell.